No. 1
VASP calculation (PBE) on a geometry-optimized AlSiNi4 structure.

Output
Formation energy without anion corrections: -26.1 kJ/mol of atoms
Calculated density: 6.2 g/cm3

a = 3.815 Å, b = 3.815 Å, c = 6.574 Å
α = 107.01°, β = 107.01°, γ = 59.99°
Fractional coordinates of all 6 atoms:
Al  0.000  0.000  0.000
Si  0.500  0.500  0.500
Ni  0.129  0.129  0.387
Ni  0.379  0.379  0.135
Ni  0.621  0.621  0.865
Ni  0.871  0.871  0.613

No. 2
VASP calculation (PBE) on a geometry-optimized Al4Si2Ni structure.

Output
Formation energy without anion corrections: 11.1 kJ/mol of atoms
Calculated density: 2.8 g/cm3

a = 3.932 Å, b = 3.932 Å, c = 19.994 Å
α = 90.00°, β = 90.00°, γ = 120.00°
Fractional coordinates of all 14 atoms:
Al  0.333  0.667  0.043
Al  0.333  0.667  0.336
Al  0.333  0.667  0.578
Al  0.333  0.667  0.788
Al  0.667  0.333  0.212
Al  0.667  0.333  0.422
Al  0.667  0.333  0.664
Al  0.667  0.333  0.957
Si  0.000  0.000  0.269
Si  0.000  0.000  0.731
Si  0.333  0.667  0.912
Si  0.667  0.333  0.088
Ni  0.333  0.667  0.458
Ni  0.667  0.333  0.542

No. 3
VASP calculation (PBE) on a geometry-optimized AlSiNi6 structure.

Output
Formation energy without anion corrections: -42.8 kJ/mol of atoms
Calculated density: 7.7 g/cm3

a = 3.541 Å, b = 3.541 Å, c = 7.046 Å
α = 90.00°, β = 90.00°, γ = 90.00°
Fractional coordinates of all 8 atoms:
Al  0.000  0.000  0.000
Si  0.000  0.000  0.500
Ni  0.000  0.500  0.257
Ni  0.000  0.500  0.743
Ni  0.500  0.000  0.257
Ni  0.500  0.000  0.743
Ni  0.500  0.500  0.000
Ni  0.500  0.500  0.500

No. 4
VASP calculation (PBE) on a geometry-optimized AlSiNi6 structure.

Output
Formation energy without anion corrections: -14.0 kJ/mol of atoms
Calculated density: 6.7 g/cm3

a = 4.212 Å, b = 4.212 Å, c = 6.452 Å
α = 106.71°, β = 106.71°, γ = 69.14°
Fractional coordinates of all 8 atoms:
Al  0.000  0.000  0.000
Si  0.500  0.500  0.500
Ni  0.051  0.569  0.203
Ni  0.148  0.148  0.436
Ni  0.431  0.949  0.797
Ni  0.569  0.051  0.203
Ni  0.852  0.852  0.564
Ni  0.949  0.431  0.797